[1]
Below is crystalline Ce6Cd23 at its relaxed geometry, with properties calculated at the PBE-GGA level.

a b c (Å): 10.0132 10.0132 10.0132
angles (deg): 60.00 60.00 60.00
Sites, in units of the cell vectors:
Cd 0.0000 0.0000 0.5000
Cd 0.6209 0.6209 0.1374
Cd 0.6209 0.1374 0.6209
Cd 0.3791 0.3791 0.3791
Cd 0.8626 0.3791 0.3791
Cd 0.4983 0.8339 0.8339
Cd 0.1374 0.6209 0.6209
Cd 0.8339 0.8339 0.8339
Cd 0.5017 0.1661 0.1661
Cd 0.3791 0.3791 0.8626
Cd 0.8339 0.8339 0.4983
Cd 0.5000 0.0000 0.5000
Cd 0.5000 0.5000 0.0000
Cd 0.1661 0.1661 0.1661
Cd 0.5000 0.0000 0.0000
Cd 0.3791 0.8626 0.3791
Cd 0.5000 0.5000 0.5000
Cd 0.0000 0.5000 0.0000
Cd 0.1661 0.5017 0.1661
Cd 0.1661 0.1661 0.5017
Cd 0.8339 0.4983 0.8339
Cd 0.6209 0.6209 0.6209
Cd 0.0000 0.5000 0.5000
Ce 0.2048 0.7952 0.2048
Ce 0.2048 0.7952 0.7952
Ce 0.7952 0.2048 0.7952
Ce 0.2048 0.2048 0.7952
Ce 0.7952 0.7952 0.2048
Ce 0.7952 0.2048 0.2048

Computed properties:
The total energy is -2.1123 eV per atom. The calculation puts the calculated volume at 709.9 Å³ per cell. The formation energy comes out at -0.1588 eV per atom. Its symmetry is Fm-3m (225).

[2]
Below is crystalline CsZr3Nb at its relaxed geometry, with properties calculated at the PBE-GGA level.

a b c (Å): 5.1858 5.1858 5.1858
angles (deg): 90.00 90.00 90.00
Sites, in units of the cell vectors:
Zr 0.0000 0.0000 0.5000
Zr 0.5000 0.0000 0.0000
Zr 0.0000 0.5000 0.0000
Cs 0.0000 0.0000 0.0000
Nb 0.5000 0.5000 0.5000

Computed properties:
The total energy is -5.1010 eV per atom. The calculation puts the calculated volume at 139.5 Å³ per cell. The formation energy comes out at 2.2125 eV per atom. Its symmetry is Pm-3m (221).

[3]
Below is crystalline BaReSe at its relaxed geometry, with properties calculated at the PBE-GGA level.

a b c (Å): 4.8799 4.8799 4.8799
angles (deg): 60.00 60.00 60.00
Sites, in units of the cell vectors:
Ba 0.5000 0.5000 0.5000
Se 0.0000 0.0000 0.0000
Re 0.7500 0.7500 0.7500

Computed properties:
The total energy is -5.0261 eV per atom. The calculation puts the calculated volume at 82.2 Å³ per cell. The formation energy without anion corrections is 0.926 eV per atom. Its symmetry is F-43m (216).

[4]
Below is crystalline Y5NpP6 at its relaxed geometry, with properties calculated at the PBE-GGA level.

a b c (Å): 6.9286 6.9286 6.9283
angles (deg): 99.59 99.59 120.00
Sites, in units of the cell vectors:
Y 0.1681 0.8319 0.5000
Y 0.5000 0.5000 0.5000
Y 0.8319 0.1681 0.5000
Y 0.6663 0.3337 0.0000
Y 0.3337 0.6663 0.0000
P 0.5897 0.9177 0.7527
P 0.0823 0.4103 0.2473
P 0.4103 0.0823 0.2473
P 0.9177 0.5897 0.7527
P 0.7546 0.7546 0.2465
P 0.2454 0.2454 0.7535
Np 0.0000 0.0000 0.0000

Computed properties:
The total energy is -7.9734 eV per atom. The calculation puts the calculated volume at 271.6 Å³ per cell. The formation energy comes out at -1.4967 eV per atom. Its symmetry is C2/m (12).